[1]
# LiGa (PBE, relaxed)
# total DFT energy (no corrections) = -1.9259 eV per atom
# total moment = 0.000 μB per cell
# ΔE_f = 0.544 eV/atom
data_LiGa
_cell_length_a 7.195
_cell_length_b 7.195
_cell_length_c 7.195
_cell_angle_alpha 90.00
_cell_angle_beta 90.00
_cell_angle_gamma 90.00
_symmetry_space_group_name_H-M 'P 1'
_symmetry_Int_Tables_number 1
_symmetry_space_group_name_Hall 'P 1'
loop_
_atom_site_label
_atom_site_type_symbol
_atom_site_fract_x
_atom_site_fract_y
_atom_site_fract_z
Li1 Li 0.250 0.000 0.500
Li2 Li 0.750 0.000 0.500
Li3 Li 0.000 0.500 0.250
Li4 Li 0.000 0.500 0.750
Li5 Li 0.500 0.250 0.000
Li6 Li 0.500 0.750 0.000
Ga1 Ga 0.250 0.500 0.000
Ga2 Ga 0.750 0.500 0.000
Ga3 Ga 0.500 0.000 0.250
Ga4 Ga 0.500 0.000 0.750
Ga5 Ga 0.000 0.250 0.500
Ga6 Ga 0.000 0.750 0.500

[2]
# Be3NiOs (PBE, relaxed)
# total DFT energy (no corrections) = -5.0090 eV per atom
# total moment = 0.000 μB per cell
# ΔE_f = 0.629 eV/atom
# E above lowest polymorph = 0.000 eV per atom
data_Be3NiOs
_cell_length_a 3.789
_cell_length_b 3.789
_cell_length_c 3.789
_cell_angle_alpha 90.00
_cell_angle_beta 90.00
_cell_angle_gamma 90.00
_symmetry_space_group_name_H-M 'P 1'
_symmetry_Int_Tables_number 1
_symmetry_space_group_name_Hall 'P 1'
loop_
_atom_site_label
_atom_site_type_symbol
_atom_site_fract_x
_atom_site_fract_y
_atom_site_fract_z
Ni1 Ni 0.000 0.000 0.000
Os1 Os 0.500 0.500 0.500
Be1 Be 0.000 0.500 0.000
Be2 Be 0.000 0.000 0.500
Be3 Be 0.500 0.000 0.000